Version A
A relaxed structure of Sm2ErPb. Source: the Alexandria database, functional PBE.

abc: 3.453 5.685 13.569
angles: 90.00 97.31 90.00
Element x y z (fractional)
Sm1 0.816 0.750 0.632
Sm2 0.093 0.750 0.186
Sm3 0.184 0.250 0.368
Sm4 0.907 0.250 0.814
Er1 0.971 0.750 0.942
Er2 0.029 0.250 0.058
Pb1 0.697 0.750 0.395
Pb2 0.303 0.250 0.605

**Space-group type**: Cmcm
**Crystal system**: orthorhombic
**N(E_F)**: 10.190 states/eV/cell
**Magnetization**: 0.0 μB/f.u.

Version B
A relaxed structure of Sm2ErPb. Source: the Alexandria database, functional PBE.

abc: 3.636 3.636 11.302
angles: 80.74 80.74 60.00
Site moments in Bohr magnetons follow the coordinates.
Element x y z (fractional)
Sm1 0.081 0.081 0.756  0.01
Sm2 0.252 0.252 0.243  0.02
Er1 0.500 0.500 0.500  0.13
Pb1 0.666 0.666 0.001  0.00

**Space-group type**: R3m
**Crystal system**: trigonal
**N(E_F)**: 4.516 states/eV/cell
**Magnetization**: 0.2 μB/f.u.

Version C
A relaxed structure of Sm2ErPb. Source: the Alexandria database, functional PBE.

abc: 4.957 4.874 4.874
angles: 90.00 90.00 90.00
Element x y z (fractional)
Pb1 0.500 0.500 0.500
Sm1 0.000 0.000 0.500
Sm2 0.000 0.500 0.000
Er1 0.500 0.000 0.000

**Space-group type**: P4/mmm
**Crystal system**: tetragonal
**N(E_F)**: 4.793 states/eV/cell
**Magnetization**: 0.0 μB/f.u.

Which is the most stable structure? version C is the most stable.

Version A
A relaxed structure of Sm2ErPb. Source: the Alexandria database, functional PBE.

abc: 5.539 5.539 5.539
angles: 60.00 60.00 60.00
Site moments in Bohr magnetons follow the coordinates.
Element x y z (fractional)
Pb1 0.500 0.500 0.500  0.00
Sm1 0.250 0.250 0.250  0.03
Sm2 0.750 0.750 0.750  0.03
Er1 0.000 0.000 0.000  0.05

**Space-group type**: Fm-3m
**Crystal system**: cubic
**N(E_F)**: 7.676 states/eV/cell
**Magnetization**: 0.2 μB/f.u.

Version B
A relaxed structure of Sm2ErPb. Source: the Alexandria database, functional PBE.

abc: 3.564 3.564 12.345
angles: 81.70 81.70 60.00
Element x y z (fractional)
Pb1 0.000 0.000 0.000
Sm1 0.088 0.088 0.735
Sm2 0.912 0.912 0.265
Er1 0.500 0.500 0.500

**Space-group type**: R-3m
**Crystal system**: trigonal
**N(E_F)**: 3.974 states/eV/cell
**Magnetization**: 0.0 μB/f.u.

Which is the most stable structure? version A is the most stable.

Version A
A relaxed structure of SmErPb. Source: the Alexandria database, functional PBE.

abc: 3.351 3.351 9.249
angles: 100.44 100.44 90.00
Site moments in Bohr magnetons follow the coordinates.
Element x y z (fractional)
Pb1 0.768 0.768 0.536  0.01
Sm1 0.946 0.946 0.892  0.03
Er1 0.136 0.136 0.273  0.32

**Space-group type**: I4mm
**Crystal system**: tetragonal
**N(E_F)**: 3.992 states/eV/cell
**Magnetization**: 0.5 μB/f.u.

Version B
A relaxed structure of SmErPb. Source: the Alexandria database, functional PBE.

abc: 6.111 3.453 9.110
angles: 79.08 90.00 90.00
Element x y z (fractional)
Sm1 0.750 0.664 0.671
Sm2 0.250 0.336 0.329
Er1 0.500 0.000 0.000
Er2 0.000 0.000 0.000
Pb1 0.750 0.844 0.313
Pb2 0.250 0.156 0.687

**Space-group type**: Cmcm
**Crystal system**: orthorhombic
**N(E_F)**: 6.327 states/eV/cell
**Magnetization**: 0.0 μB/f.u.

Which is the most stable structure? version B is the most stable.

Version A
A relaxed structure of SmErPb. Source: the Alexandria database, functional PBE.

abc: 4.639 4.639 9.117
angles: 104.73 104.73 90.01
Site moments in Bohr magnetons follow the coordinates.
Element x y z (fractional)
Sm1 0.325 0.325 0.650  0.05
Sm2 0.675 0.675 0.350  0.05
Er1 0.500 0.000 0.000  0.05
Er2 0.000 0.500 0.000  0.05
Pb1 0.865 0.865 0.730  0.00
Pb2 0.135 0.135 0.270  0.00

**Space-group type**: I4/mmm
**Crystal system**: tetragonal
**N(E_F)**: 7.651 states/eV/cell
**Magnetization**: 0.2 μB/f.u.

Version B
A relaxed structure of SmErPb. Source: the Alexandria database, functional PBE.

abc: 4.597 4.598 8.669
angles: 90.00 89.98 90.00
Element x y z (fractional)
Sm1 0.750 0.250 0.843
Sm2 0.250 0.750 0.157
Er1 0.250 0.250 0.500
Er2 0.750 0.750 0.500
Pb1 0.750 0.250 0.221
Pb2 0.250 0.750 0.779

**Space-group type**: P4/nmm
**Crystal system**: tetragonal
**N(E_F)**: 5.136 states/eV/cell
**Magnetization**: 0.0 μB/f.u.

Which is the most stable structure? version A is the most stable.